1.
## PbW2Se (PBE)

Data for a relaxed PbW2Se crystal.

a = 3.175 Å, b = 3.175 Å, c = 8.974 Å
α = 90.00°, β = 90.00°, γ = 121.72°
Atoms (fractional coordinates):
Pb: 0.500 0.500 0.250
Se: 0.500 0.500 0.750
W: 0.000 0.000 0.973
W: 0.000 0.000 0.527

Values from the calculation:
The magnetization comes out at 0.0 μB/f.u. The calculation puts the raw formation energy at 1.0849 eV per atom. Its space-group type is No. 65.

2.
## PbWSe2 (PBE)

Data for a relaxed PbWSe2 crystal.

a = 4.834 Å, b = 4.834 Å, c = 6.762 Å
α = 71.85°, β = 71.85°, γ = 39.62°
Atoms (fractional coordinates):
Pb: 0.179 0.179 0.255
Se: 0.992 0.992 0.961
Se: 0.818 0.818 0.616
W: 0.511 0.511 0.668

Values from the calculation:
The magnetization comes out at 0.0 μB/f.u. The calculation puts the raw formation energy at -0.0023 eV per atom. Its space-group type is No. 8.

3.
## PbW2Se (PBE)

Data for a relaxed PbW2Se crystal.

a = 3.253 Å, b = 3.253 Å, c = 6.870 Å
α = 90.00°, β = 90.00°, γ = 90.00°
Atoms (fractional coordinates):
Pb: 0.500 0.500 0.250
Se: 0.500 0.500 0.750
W: 0.000 0.000 0.951
W: 0.000 0.000 0.549

Values from the calculation:
The magnetization comes out at 0.0 μB/f.u. The calculation puts the raw formation energy at 0.8851 eV per atom. Its space-group type is No. 123.

4.
## PbWSe2 (PBE)

Data for a relaxed PbWSe2 crystal.

a = 9.706 Å, b = 9.706 Å, c = 9.706 Å
α = 19.98°, β = 19.98°, γ = 19.98°
Atoms (fractional coordinates):
Pb: 0.756 0.756 0.756
Se: 0.016 0.016 0.016
Se: 0.226 0.226 0.226
W: 0.503 0.503 0.503

Values from the calculation:
The magnetization comes out at 0.0 μB/f.u. The calculation puts the raw formation energy at 0.2306 eV per atom. Its space-group type is No. 160.

5.
## PbWSe (PBE)

Data for a relaxed PbWSe crystal.

a = 4.581 Å, b = 4.581 Å, c = 3.386 Å
α = 90.00°, β = 90.00°, γ = 120.00°
Atoms (fractional coordinates):
Pb: 0.000 0.000 0.000
Se: 0.667 0.333 0.500
W: 0.333 0.667 0.500

Values from the calculation:
The magnetization comes out at 0.0 μB/f.u. The calculation puts the raw formation energy at 0.6583 eV per atom. Its space-group type is No. 187.

6.
## PbWSe2 (PBE)

Data for a relaxed PbWSe2 crystal.

a = 6.619 Å, b = 6.619 Å, c = 7.159 Å
α = 62.47°, β = 62.47°, γ = 90.00°
Atoms (fractional coordinates):
Pb: 0.000 0.000 0.000
Pb: 0.750 0.250 0.500
Se: 0.548 0.125 0.250
Se: 0.202 0.625 0.250
Se: 0.375 0.452 0.750
Se: 0.875 0.798 0.750
W: 0.500 0.500 0.000
W: 0.250 0.750 0.500

Values from the calculation:
The magnetization comes out at 0.0 μB/f.u. The calculation puts the raw formation energy at 0.3170 eV per atom. Its space-group type is No. 122.